The following is a meta-GGA SCAN calculation of a PBEsol-optimized structure of MoRuO2, from the Alexandria database.

Results
Calculated volume in A^3/atom: 11.08
Fermi-level density of states in states/eV/cell: 7.982
Total magnetization in μB per atom: 0.000
ρ in g/cm3: 8.580
Formation energy (no corrections) in eV per atom: -0.63

```
data_MoRuO2
_chemical_formula_sum 'Mo3 Ru3 O6'
_symmetry_space_group_name_H-M 'R -3 m'
_symmetry_Int_Tables_number 166
_symmetry_space_group_name_Hall '-R 3 2"'
_cell_length_a 2.7637
_cell_length_b 2.7637
_cell_length_c 20.1012
_cell_angle_alpha 90.00
_cell_angle_beta 90.00
_cell_angle_gamma 120.00
loop_
_atom_site_label
_atom_site_type_symbol
_atom_site_fract_x
_atom_site_fract_y
_atom_site_fract_z
_atom_site_occupancy
Mo1 Mo 0.0000 0.0000 0.0000 1
Ru1 Ru 0.0000 0.0000 0.5000 1
O1 O 0.0000 0.0000 0.1019 1
```